A plane-wave DFT calculation with GGA-PBE was carried out for crystalline Er3In2Ga at its relaxed geometry.

Total magnetization, μB per cell: 0.03
Formation energy, meV per atom: -481.4
Mass density, g/cm³: 8.99
Offset from the most stable computed form, meV per atom: 0
Energy, eV/atom: -4.18

a b c (Å): 3.4868 3.4868 12.1709
angles (deg): 90.00 90.00 90.00
Last column: nearest neighbours and their distance in Å.
Fractional positions:
Er 0.0000 0.0000 0.0000  8 In 3.24, 4 Er 3.49
Er 0.0000 0.0000 0.3478  4 Ga 3.08, 4 In 3.26
Er 0.0000 0.0000 0.6522  4 Ga 3.08, 4 In 3.26
In 0.5000 0.5000 0.1725  8 Er 3.24-3.26, 4 In 3.49
In 0.5000 0.5000 0.8275  8 Er 3.24-3.26, 4 In 3.49
Ga 0.5000 0.5000 0.5000  8 Er 3.08


A plane-wave DFT calculation with GGA-PBE was carried out for crystalline InFe2Sn2 at its relaxed geometry.

Total magnetization, μB per cell: 4.24
Formation energy, meV per atom: 224.0
Mass density, g/cm³: 7.35
Energy, eV/atom: -5.31

a b c (Å): 9.2022 9.2022 9.2022
angles (deg): 158.48 158.48 30.62
Last column: nearest neighbours and their distance in Å.
Fractional positions:
In 0.0000 0.0000 0.0000  8 Sn 3.36, 4 In 3.44
Fe 0.2500 0.7500 0.5000  4 Fe 2.43
Fe 0.7500 0.2500 0.5000  4 Fe 2.43
Sn 0.3692 0.3692 0.0000  4 Fe 2.73
Sn 0.6308 0.6308 0.0000  4 Fe 2.73


A plane-wave DFT calculation with GGA-PBE was carried out for crystalline RhIN at its relaxed geometry.

Total magnetization, μB per cell: 0.00
Mass density, g/cm³: 5.42
Uncorrected formation energy, eV/atom: 0.27
Energy, eV/atom: -5.47

a b c (Å): 4.0109 4.0109 9.8440
angles (deg): 99.23 99.23 74.19
Last column: nearest neighbours and their distance in Å.
Fractional positions:
Rh 0.2131 0.2131 0.2858  1 N 1.94
Rh 0.7869 0.7869 0.7142  1 N 1.94
I 0.2015 0.2015 0.8055  3 Rh 2.62-2.68
I 0.7985 0.7985 0.1945  3 Rh 2.62-2.68
N 0.4475 0.4475 0.4454  1 N 1.15
N 0.5525 0.5525 0.5546  1 N 1.15


A plane-wave DFT calculation with GGA-PBE was carried out for crystalline NiS5Br at its relaxed geometry.

Total magnetization, μB per cell: 0.00
Mass density, g/cm³: 2.26
Uncorrected formation energy, eV/atom: 0.00
Energy, eV/atom: -4.01

a b c (Å): 10.6115 10.6115 4.3240
angles (deg): 98.19 98.19 148.15
Last column: nearest neighbours and their distance in Å.
Fractional positions:
Ni 0.0000 0.0000 0.0000  2 S 2.14, 2 Br 2.39
S 0.3235 0.4262 0.2370  1 S 1.96, 1 Ni 2.14
S 0.5588 0.1456 0.2303  2 S 2.06
S 0.5738 0.6765 0.7630  1 S 1.96, 1 Ni 2.14
S 0.7691 0.2309 0.0000  2 S 2.06
S 0.8544 0.4412 0.7697  2 S 2.06
Br 0.0504 0.9496 0.5000  2 Ni 2.39


A plane-wave DFT calculation with GGA-PBE was carried out for crystalline BaSrTc2 at its relaxed geometry.

Total magnetization, μB per cell: 4.78
Formation energy, meV per atom: 1349.7
Mass density, g/cm³: 6.44
Offset from the most stable computed form, meV per atom: 1063
Energy, eV/atom: -4.73

a b c (Å): 5.6117 5.6117 3.4467
angles (deg): 90.00 90.00 90.00
Last column: nearest neighbours and their distance in Å.
Fractional positions:
Ba 0.0000 0.0000 0.0000  8 Tc 3.29, 2 Ba 3.45
Sr 0.5000 0.5000 0.0000  8 Tc 3.29, 2 Sr 3.45
Tc 0.0000 0.5000 0.5000  4 Ba 3.29, 4 Sr 3.29, 2 Tc 3.45
Tc 0.5000 0.0000 0.5000  4 Ba 3.29, 4 Sr 3.29, 2 Tc 3.45


A plane-wave DFT calculation with GGA-PBE was carried out for crystalline RbAg2TeBr8 at its relaxed geometry.

Total magnetization, μB per cell: 0.00
Mass density, g/cm³: 3.98
Uncorrected formation energy, eV/atom: -0.55
Energy, eV/atom: -2.48

a b c (Å): 6.8585 7.1522 9.7016
angles (deg): 71.46 81.52 84.24
Last column: nearest neighbours and their distance in Å.
Fractional positions:
Rb 0.0000 0.0000 0.0000  6 Br 3.65-3.73
Ag 0.4403 0.4940 0.2012  5 Br 2.68-2.95
Ag 0.5597 0.5060 0.7988  5 Br 2.68-2.95
Te 0.0000 0.5000 0.5000  6 Br 2.74-2.76
Br 0.1459 0.4954 0.7512  1 Te 2.76, 1 Ag 2.95
Br 0.2502 0.7807 0.3260  1 Te 2.74, 1 Ag 2.82
Br 0.2870 0.2246 0.4536  1 Ag 2.73, 1 Te 2.74
Br 0.4998 0.2218 0.0564  2 Ag 2.68-2.71
Br 0.5002 0.7782 0.9436  2 Ag 2.68-2.71
Br 0.7130 0.7754 0.5464  1 Ag 2.73, 1 Te 2.74
Br 0.7498 0.2193 0.6740  1 Te 2.74, 1 Ag 2.82
Br 0.8541 0.5046 0.2488  1 Te 2.76, 1 Ag 2.95


Which value of total magnetization does entry 6 give?
0.00 μB per cell